#1
Computed, not measured: an optimized crystal structure of YSc2Cu2 at the PBE-GGA level of DFT.

## Properties
- M_tot (μB per atom) = 0.00

a b c (Å): 12.5403 12.5403 4.8715
angles (deg): 90.00 90.00 164.66
Atoms (fractional coordinates):
Y1 0.1420 0.8580 0.7500
Y2 0.8580 0.1420 0.2500
Sc1 0.0461 0.9539 0.2500
Sc2 0.2317 0.7683 0.2500
Sc3 0.7683 0.2317 0.7500
Sc4 0.9539 0.0461 0.7500
Cu1 0.3585 0.6415 0.7500
Cu2 0.4591 0.5409 0.2500
Cu3 0.5409 0.4591 0.7500
Cu4 0.6415 0.3585 0.2500

=====

#2
Computed, not measured: an optimized crystal structure of YSc2Cu2 at the PBE-GGA level of DFT.

## Properties
- M_tot (μB per atom) = 0.00

a b c (Å): 6.2277 6.2277 6.2277
angles (deg): 138.11 138.11 60.74
Atoms (fractional coordinates):
Y1 0.0000 0.0000 0.0000
Sc1 0.2500 0.7500 0.5000
Sc2 0.7500 0.2500 0.5000
Cu1 0.3920 0.3920 0.0000
Cu2 0.6080 0.6080 0.0000

=====

#1 is favored, and the nearest alternative lies 8.3 kJ/mol of atoms above it.

=====

#1
Computed, not measured: an optimized crystal structure of Y2ScCu at the PBE-GGA level of DFT.

## Properties
- M_tot (μB per atom) = 0.00

a b c (Å): 3.6823 4.5931 6.2139
angles (deg): 90.00 107.15 90.00
Atoms (fractional coordinates):
Y1 0.0000 0.0000 0.0000
Y2 0.3291 0.5000 0.6571
Sc1 0.7201 0.0000 0.4387
Cu1 0.5889 0.5000 0.1837

=====

#2
Computed, not measured: an optimized crystal structure of Y2ScCu at the PBE-GGA level of DFT.

## Properties
- M_tot (μB per atom) = 0.00

a b c (Å): 6.2998 6.2998 6.2998
angles (deg): 147.47 131.62 59.52
Atoms (fractional coordinates):
Y1 0.0000 0.0000 0.0000
Y2 0.7099 0.2099 0.5000
Sc1 0.2981 0.7981 0.5000
Cu1 0.4870 0.4870 0.0000

=====

#3
Computed, not measured: an optimized crystal structure of Y2ScCu at the PBE-GGA level of DFT.

## Properties
- M_tot (μB per atom) = 0.00

a b c (Å): 5.1678 5.1678 5.1678
angles (deg): 60.00 60.00 60.00
Atoms (fractional coordinates):
Y1 0.0000 0.0000 0.0000
Y2 0.2500 0.2500 0.2500
Sc1 0.7500 0.7500 0.7500
Cu1 0.5000 0.5000 0.5000

=====

#4
Computed, not measured: an optimized crystal structure of Y2ScCu at the PBE-GGA level of DFT.

## Properties
- M_tot (μB per atom) = 0.00

a b c (Å): 5.1800 5.1800 3.6550
angles (deg): 90.00 90.00 90.00
Atoms (fractional coordinates):
Y1 0.0000 0.5000 0.0000
Y2 0.5000 0.0000 0.0000
Sc1 0.0000 0.0000 0.5000
Cu1 0.5000 0.5000 0.5000

=====

#2 is favored, and the nearest alternative lies 9.7 kJ/mol of atoms above it.

=====

#1
Computed, not measured: an optimized crystal structure of Y2ScCu at the PBE-GGA level of DFT.

## Properties
- M_tot (μB per atom) = 0.00

a b c (Å): 3.4123 3.4123 8.5555
angles (deg): 90.00 90.00 90.00
Atoms (fractional coordinates):
Y1 0.0000 0.0000 0.0000
Y2 0.5000 0.5000 0.3210
Sc1 0.5000 0.5000 0.7088
Cu1 0.0000 0.0000 0.5449

=====

#2
Computed, not measured: an optimized crystal structure of Y2ScCu at the PBE-GGA level of DFT.

## Properties
- M_tot (μB per atom) = 0.00

a b c (Å): 3.4597 3.4597 8.3570
angles (deg): 90.00 90.00 90.00
Atoms (fractional coordinates):
Y1 0.0000 0.0000 0.2106
Y2 0.0000 0.0000 0.7894
Sc1 0.5000 0.5000 0.5000
Cu1 0.5000 0.5000 0.0000

=====

#3
Computed, not measured: an optimized crystal structure of Y2ScCu at the PBE-GGA level of DFT.

## Properties
- M_tot (μB per atom) = 0.00

a b c (Å): 6.2121 6.2121 6.2121
angles (deg): 145.94 131.21 60.84
Atoms (fractional coordinates):
Y1 0.2061 0.2061 0.0000
Y2 0.7939 0.7939 0.0000
Sc1 0.5000 0.0000 0.5000
Cu1 0.0000 0.5000 0.5000

=====

#4
Computed, not measured: an optimized crystal structure of Y2ScCu at the PBE-GGA level of DFT.

## Properties
- M_tot (μB per atom) = 0.00

a b c (Å): 6.7115 9.2861 6.4691
angles (deg): 90.00 90.00 90.00
Atoms (fractional coordinates):
Y1 0.2013 0.0581 0.1955
Y2 0.2013 0.4419 0.1955
Y3 0.2987 0.5581 0.6955
Y4 0.2987 0.9419 0.6955
Y5 0.7013 0.0581 0.3045
Y6 0.7013 0.4419 0.3045
Y7 0.7987 0.5581 0.8045
Y8 0.7987 0.9419 0.8045
Sc1 0.0251 0.2500 0.6230
Sc2 0.4749 0.7500 0.1230
Sc3 0.5251 0.2500 0.8770
Sc4 0.9749 0.7500 0.3770
Cu1 0.0825 0.7500 0.9846
Cu2 0.4175 0.2500 0.4846
Cu3 0.5825 0.7500 0.5154
Cu4 0.9175 0.2500 0.0154

=====

#4 is favored, and the nearest alternative lies 2.0 kJ/mol of atoms above it.

=====

#1
Computed, not measured: an optimized crystal structure of YScCu3 at the PBE-GGA level of DFT.

## Properties
- M_tot (μB per atom) = 0.00

a b c (Å): 12.5329 12.5329 4.2615
angles (deg): 90.00 90.00 164.14
Atoms (fractional coordinates):
Y1 0.0754 0.9246 0.7500
Y2 0.9246 0.0754 0.2500
Sc1 0.2082 0.7918 0.2500
Sc2 0.7918 0.2082 0.7500
Cu1 0.3213 0.6787 0.2500
Cu2 0.3765 0.6235 0.7500
Cu3 0.4755 0.5245 0.7500
Cu4 0.5245 0.4755 0.2500
Cu5 0.6235 0.3765 0.2500
Cu6 0.6787 0.3213 0.7500

=====

#2
Computed, not measured: an optimized crystal structure of YScCu3 at the PBE-GGA level of DFT.

## Properties
- M_tot (μB per atom) = 0.00

a b c (Å): 4.7296 4.7296 4.7296
angles (deg): 90.00 90.00 90.00
Atoms (fractional coordinates):
Y1 0.0000 0.0000 0.0000
Sc1 0.5000 0.5000 0.5000
Cu1 0.0000 0.5000 0.5000
Cu2 0.5000 0.0000 0.5000
Cu3 0.5000 0.5000 0.0000

=====

#3
Computed, not measured: an optimized crystal structure of YScCu3 at the PBE-GGA level of DFT.

## Properties
- M_tot (μB per atom) = 0.00

a b c (Å): 4.8982 4.8982 4.8982
angles (deg): 90.00 90.00 90.00
Atoms (fractional coordinates):
Y1 0.0000 0.0000 0.0000
Sc1 0.5000 0.5000 0.5000
Cu1 0.0000 0.0000 0.5000
Cu2 0.0000 0.5000 0.0000
Cu3 0.5000 0.0000 0.0000

=====

#1 is favored, and the nearest alternative lies 65.6 kJ/mol of atoms above it.

=====

#1
Computed, not measured: an optimized crystal structure of ScZnCu3 at the PBE-GGA level of DFT.

## Properties
- M_tot (μB per atom) = 0.00

a b c (Å): 4.4406 4.4406 4.4406
angles (deg): 90.00 90.00 90.00
Atoms (fractional coordinates):
Sc1 0.0000 0.0000 0.0000
Zn1 0.5000 0.5000 0.5000
Cu1 0.0000 0.5000 0.5000
Cu2 0.5000 0.0000 0.5000
Cu3 0.5000 0.5000 0.0000

=====

#2
Computed, not measured: an optimized crystal structure of ScZnCu3 at the PBE-GGA level of DFT.

## Properties
- M_tot (μB per atom) = 0.00

a b c (Å): 6.7456 6.7456 7.4653
angles (deg): 112.53 112.53 79.07
Atoms (fractional coordinates):
Sc1 0.0998 0.9002 0.7500
Sc2 0.3598 0.6402 0.2500
Sc3 0.6402 0.3598 0.7500
Sc4 0.9002 0.0998 0.2500
Zn1 0.0270 0.2930 0.6817
Zn2 0.2930 0.0270 0.1817
Zn3 0.7070 0.9730 0.8183
Zn4 0.9730 0.7070 0.3183
Cu1 0.0446 0.3162 0.0469
Cu2 0.1960 0.4088 0.4565
Cu3 0.2977 0.5518 0.8520
Cu4 0.3162 0.0446 0.5469
Cu5 0.4088 0.1960 0.9565
Cu6 0.4482 0.7023 0.6480
Cu7 0.5518 0.2977 0.3520
Cu8 0.5912 0.8040 0.0435
Cu9 0.6838 0.9554 0.4531
Cu10 0.7023 0.4482 0.1480
Cu11 0.8040 0.5912 0.5435
Cu12 0.9554 0.6838 0.9531

=====

#3
Computed, not measured: an optimized crystal structure of ScZnCu3 at the PBE-GGA level of DFT.

## Properties
- M_tot (μB per atom) = 0.00

a b c (Å): 4.8323 4.8323 4.8323
angles (deg): 90.00 90.00 90.00
Atoms (fractional coordinates):
Sc1 0.0000 0.0000 0.0000
Zn1 0.5000 0.5000 0.5000
Cu1 0.0000 0.0000 0.5000
Cu2 0.0000 0.5000 0.0000
Cu3 0.5000 0.0000 0.0000

=====

#4
Computed, not measured: an optimized crystal structure of ScZnCu3 at the PBE-GGA level of DFT.

## Properties
- M_tot (μB per atom) = 0.00

a b c (Å): 6.1553 6.1553 6.1553
angles (deg): 133.08 112.55 86.18
Atoms (fractional coordinates):
Sc1 0.2572 0.0072 0.2500
Sc2 0.7428 0.9928 0.7500
Zn1 0.0000 0.5000 0.5000
Zn2 0.5000 0.5000 0.0000
Cu1 0.1847 0.0000 0.6847
Cu2 0.1847 0.5000 0.1847
Cu3 0.4445 0.6945 0.7500
Cu4 0.5555 0.3055 0.2500
Cu5 0.8153 0.0000 0.3153
Cu6 0.8153 0.5000 0.8153

=====

#2 is favored, and the nearest alternative lies 4.0 kJ/mol of atoms above it.

=====

#1
Computed, not measured: an optimized crystal structure of Sc3ZnCu at the PBE-GGA level of DFT.

## Properties
- M_tot (μB per atom) = 0.03

a b c (Å): 9.3841 9.3841 4.6367
angles (deg): 90.00 90.00 151.38
Atoms (fractional coordinates):
Sc1 0.0654 0.9346 0.7500
Sc2 0.2494 0.7506 0.7500
Sc3 0.4327 0.5673 0.7500
Sc4 0.5673 0.4327 0.2500
Sc5 0.7506 0.2494 0.2500
Sc6 0.9346 0.0654 0.2500
Zn1 0.1578 0.8422 0.2500
Zn2 0.8422 0.1578 0.7500
Cu1 0.3394 0.6606 0.2500
Cu2 0.6606 0.3394 0.7500

=====

#2
Computed, not measured: an optimized crystal structure of Sc3ZnCu at the PBE-GGA level of DFT.

## Properties
- M_tot (μB per atom) = 0.44

a b c (Å): 4.9350 4.9350 4.9350
angles (deg): 90.00 90.00 90.00
Atoms (fractional coordinates):
Sc1 0.0000 0.0000 0.5000
Sc2 0.0000 0.5000 0.0000
Sc3 0.5000 0.0000 0.0000
Zn1 0.5000 0.5000 0.5000
Cu1 0.0000 0.0000 0.0000

=====

#1 is favored, and the nearest alternative lies 45.8 kJ/mol of atoms above it.

=====

#1
Computed, not measured: an optimized crystal structure of ScZn3Cu3 at the PBE-GGA level of DFT.

## Properties
- M_tot (μB per atom) = 0.00

a b c (Å): 6.4941 6.4941 6.4941
angles (deg): 90.00 90.00 90.00
Atoms (fractional coordinates):
Sc1 0.0000 0.0000 0.0000
Sc2 0.5000 0.5000 0.5000
Zn1 0.0000 0.2500 0.5000
Zn2 0.0000 0.7500 0.5000
Zn3 0.2500 0.5000 0.0000
Zn4 0.5000 0.0000 0.2500
Zn5 0.5000 0.0000 0.7500
Zn6 0.7500 0.5000 0.0000
Cu1 0.0000 0.5000 0.2500
Cu2 0.0000 0.5000 0.7500
Cu3 0.2500 0.0000 0.5000
Cu4 0.5000 0.2500 0.0000
Cu5 0.5000 0.7500 0.0000
Cu6 0.7500 0.0000 0.5000

=====

#2
Computed, not measured: an optimized crystal structure of ScZn3Cu3 at the PBE-GGA level of DFT.

## Properties
- M_tot (μB per atom) = 0.18

a b c (Å): 8.0225 8.0225 8.0225
angles (deg): 60.00 60.00 60.00
Atoms (fractional coordinates):
Sc1 0.2500 0.2500 0.2500
Sc2 0.7500 0.7500 0.7500
Zn1 0.1575 0.1575 0.8425
Zn2 0.1575 0.8425 0.1575
Zn3 0.1575 0.8425 0.8425
Zn4 0.8425 0.1575 0.1575
Zn5 0.8425 0.1575 0.8425
Zn6 0.8425 0.8425 0.1575
Cu1 0.3525 0.3525 0.6475
Cu2 0.3525 0.6475 0.3525
Cu3 0.3525 0.6475 0.6475
Cu4 0.6475 0.3525 0.3525
Cu5 0.6475 0.3525 0.6475
Cu6 0.6475 0.6475 0.3525

=====

#1 is favored, and the nearest alternative lies 39.7 kJ/mol of atoms above it.

=====

#1
Computed, not measured: an optimized crystal structure of Sc4ZnCu at the PBE-GGA level of DFT.

## Properties
- M_tot (μB per atom) = 0.00

a b c (Å): 4.5681 4.5681 6.5066
angles (deg): 90.00 90.00 90.00
Atoms (fractional coordinates):
Sc1 0.0000 0.5000 0.2436
Sc2 0.0000 0.5000 0.7564
Sc3 0.5000 0.0000 0.2436
Sc4 0.5000 0.0000 0.7564
Zn1 0.0000 0.0000 0.5000
Cu1 0.5000 0.5000 0.0000

=====

#2
Computed, not measured: an optimized crystal structure of Sc4ZnCu at the PBE-GGA level of DFT.

## Properties
- M_tot (μB per atom) = 0.12

a b c (Å): 3.2576 3.2576 11.6132
angles (deg): 90.00 90.00 90.00
Atoms (fractional coordinates):
Sc1 0.0000 0.0000 0.1401
Sc2 0.0000 0.0000 0.8599
Sc3 0.5000 0.5000 0.3500
Sc4 0.5000 0.5000 0.6500
Zn1 0.0000 0.0000 0.5000
Cu1 0.5000 0.5000 0.0000

=====

#3
Computed, not measured: an optimized crystal structure of Sc4ZnCu at the PBE-GGA level of DFT.

## Properties
- M_tot (μB per atom) = 0.00

a b c (Å): 5.6802 5.6802 5.6802
angles (deg): 60.00 60.00 60.00
Atoms (fractional coordinates):
Sc1 0.1248 0.1248 0.1248
Sc2 0.1248 0.1248 0.6257
Sc3 0.1248 0.6257 0.1248
Sc4 0.6257 0.1248 0.1248
Zn1 0.7500 0.7500 0.7500
Cu1 0.5000 0.5000 0.5000

=====

#2 is favored, and the nearest alternative lies 22.6 kJ/mol of atoms above it.